[1]
Material: MgSiN2F
Method: DFT, PBE-GGA
State: optimized geometry

Structure (CIF):
```
data_MgSiN2F
_chemical_formula_sum 'Mg1 Si1 N2 F1'
_symmetry_space_group_name_H-M 'P 4/m m m'
_symmetry_Int_Tables_number 123
_symmetry_space_group_name_Hall '-P 4 2'
_cell_length_a 4.2442
_cell_length_b 4.2442
_cell_length_c 3.4824
_cell_angle_alpha 90.00
_cell_angle_beta 90.00
_cell_angle_gamma 90.00
loop_
_atom_site_label
_atom_site_type_symbol
_atom_site_fract_x
_atom_site_fract_y
_atom_site_fract_z
_atom_site_occupancy
Mg1 Mg 0.0000 0.0000 0.0000 1
Si1 Si 0.5000 0.5000 0.0000 1
N1 N 0.0000 0.5000 0.5000 1
F1 F 0.0000 0.0000 0.5000 1
```

Fermi-level density of states (states/eV per cell): 2.5
Polymorph energy (0 for the lowest one) (meV per atom): 1930
Total moment (μB/f.u.): 0.0
Crystal system: tetragonal

---

[2]
Material: CaGa4Ir2Ru
Method: DFT, PBE-GGA
State: optimized geometry

Structure (CIF):
```
data_CaGa4Ir2Ru
_chemical_formula_sum 'Ca3 Ga12 Ir6 Ru3'
_symmetry_space_group_name_H-M 'R -3 m'
_symmetry_Int_Tables_number 166
_symmetry_space_group_name_Hall '-R 3 2"'
_cell_length_a 4.2378
_cell_length_b 4.2378
_cell_length_c 26.3709
_cell_angle_alpha 90.00
_cell_angle_beta 90.00
_cell_angle_gamma 120.00
loop_
_atom_site_label
_atom_site_type_symbol
_atom_site_fract_x
_atom_site_fract_y
_atom_site_fract_z
_atom_site_occupancy
Ca1 Ca 0.0000 0.0000 0.0000 1
Ga1 Ga 0.0000 0.0000 0.1328 1
Ga2 Ga 0.0000 0.0000 0.4026 1
Ir1 Ir 0.0000 0.0000 0.2382 1
Ru1 Ru 0.0000 0.0000 0.5000 1
```

Fermi-level density of states (states/eV per cell): 7.7
Total DFT energy (no corrections) (eV per cell): -134.7
Total moment (μB/f.u.): 0.0
Crystal system: trigonal